1.
Rb2InI6Cl | GGA-PBE | optimized geometry

Computed properties:
DOS(E_F) ... 11.06 states/eV per cell
Formation energy (no corrections) ... -0.6807 eV per atom
Total magnetization ... 0.0 μB per cell

a = 8.3546 Å, b = 8.3546 Å, c = 12.9165 Å
α = 90.00°, β = 90.00°, γ = 90.00°
With the nearest neighbours (Å) after each atom.
Space group I4/mmm (No. 139)
One atom of each set of equivalent atoms:
Rb  0.0000  0.5000  0.2500 x4  12 I 4.19-4.38
In  0.0000  0.0000  0.0000 x2  6 I 2.94
I  0.0000  0.0000  0.2277 x4  1 In 2.94
I  0.2485  0.2485  0.0000 x8  1 In 2.94, 1 Cl 2.97
Cl  0.0000  0.0000  0.5000 x2  4 I 2.97



2.
InS2ICl | GGA-PBE | optimized geometry

Computed properties:
DOS(E_F) ... 4.57 states/eV per cell
Excess energy over the best structure of this formula in the dataset ... 0 meV per atom
Formation energy (no corrections) ... 0.2161 eV per atom
Total magnetization ... 0.6 μB per cell

a = 5.2482 Å, b = 5.2482 Å, c = 5.0079 Å
α = 90.00°, β = 90.00°, γ = 90.00°
With the nearest neighbours (Å) after each atom.
Space group P4/mmm (No. 123)
One atom of each set of equivalent atoms:
In  0.0000  0.0000  0.0000 x1  2 Cl 2.50, 4 S 2.62
S  0.0000  0.5000  0.0000 x2  2 In 2.62
I  0.5000  0.5000  0.5000 x1  8 S 3.63, 4 Cl 3.71
Cl  0.0000  0.0000  0.5000 x1  2 In 2.50



3.
InS2ICl | GGA-PBE | optimized geometry

Computed properties:
DOS(E_F) ... 2.32 states/eV per cell
Excess energy over the best structure of this formula in the dataset ... 76 meV per atom
Formation energy (no corrections) ... 0.2918 eV per atom
Total magnetization ... 0.0 μB per cell

a = 5.2061 Å, b = 5.2061 Å, c = 5.5770 Å
α = 90.00°, β = 90.00°, γ = 90.00°
With the nearest neighbours (Å) after each atom.
Space group P4/mmm (No. 123)
One atom of each set of equivalent atoms:
In  0.0000  0.0000  0.0000 x1  4 Cl 3.68, 8 S 3.81
S  0.0000  0.5000  0.5000 x2  2 I 2.60
I  0.5000  0.5000  0.5000 x1  4 S 2.60, 2 Cl 2.79
Cl  0.5000  0.5000  0.0000 x1  2 I 2.79



4.
InSb2ICl | GGA-PBE | optimized geometry

Computed properties:
DOS(E_F) ... 4.59 states/eV per cell
Excess energy over the best structure of this formula in the dataset ... 0 meV per atom
Formation energy (no corrections) ... 0.4171 eV per atom
Total magnetization ... 0.0 μB per cell

a = 5.1954 Å, b = 5.1954 Å, c = 7.3426 Å
α = 90.00°, β = 90.00°, γ = 90.00°
With the nearest neighbours (Å) after each atom.
Space group P4/mmm (No. 123)
One atom of each set of equivalent atoms:
In  0.0000  0.0000  0.0000 x1  4 I 3.67
Sb  0.0000  0.5000  0.5000 x2  2 Cl 2.60
I  0.5000  0.5000  0.0000 x1  2 Cl 3.67, 4 In 3.67
Cl  0.5000  0.5000  0.5000 x1  4 Sb 2.60



5.
InSb2ICl | GGA-PBE | optimized geometry

Computed properties:
DOS(E_F) ... 4.44 states/eV per cell
Excess energy over the best structure of this formula in the dataset ... 59 meV per atom
Formation energy (no corrections) ... 0.4766 eV per atom
Total magnetization ... 1.2 μB per cell

a = 5.7305 Å, b = 5.7305 Å, c = 5.8050 Å
α = 90.00°, β = 90.00°, γ = 90.00°
With the nearest neighbours (Å) after each atom.
Space group P4/mmm (No. 123)
One atom of each set of equivalent atoms:
In  0.0000  0.0000  0.0000 x1  4 Sb 2.87, 2 I 2.90
Sb  0.0000  0.5000  0.0000 x2  2 In 2.87
I  0.0000  0.0000  0.5000 x1  2 In 2.90
Cl  0.5000  0.5000  0.5000 x1  4 I 4.05, 8 Sb 4.08



6.
InSbI2Cl | GGA-PBE | optimized geometry

Computed properties:
DOS(E_F) ... 3.89 states/eV per cell
Excess energy over the best structure of this formula in the dataset ... 0 meV per atom
Formation energy (no corrections) ... 0.2292 eV per atom
Total magnetization ... 0.8 μB per cell

a = 5.7575 Å, b = 5.7575 Å, c = 5.9936 Å
α = 90.00°, β = 90.00°, γ = 90.00°
With the nearest neighbours (Å) after each atom.
Space group P4/mmm (No. 123)
One atom of each set of equivalent atoms:
In  0.0000  0.0000  0.0000 x1  4 I 2.88, 2 Sb 3.00
Sb  0.0000  0.0000  0.5000 x1  2 In 3.00
I  0.0000  0.5000  0.0000 x2  2 In 2.88
Cl  0.5000  0.5000  0.5000 x1  4 Sb 4.07, 8 I 4.16